Crystalline La10Tl3In3 at its relaxed geometry. Source: Alexandria via LeMat-Bulk, functional PBE.

Cell lengths 9.6710, 9.6710, 6.6896 Å; angles 90.00, 90.00, 120.00 degrees
Space group P-62m (No. 189)
Inequivalent atoms, fractional coordinates:
La 0.0000 0.2425 0.0000 x3
La 0.0000 0.7645 0.5000 x3
La 0.3333 0.6667 0.2652 x4
Tl 0.0000 0.3952 0.5000 x3
In 0.0000 0.6023 0.0000 x3

total moment	0.004	Bohr magnetons per cell
V	541.8	Å³/cell
E_form	-0.34	eV per atom
DFT total energy	-70.0	eV/cell

***

Crystalline BaTlInSb2 at its relaxed geometry. Source: Alexandria via LeMat-Bulk, functional PBE.

Cell lengths 18.046, 4.856, 10.161 Å; angles 90.00, 123.39, 90.00 degrees
Space group C2/m (No. 12)
Inequivalent atoms, fractional coordinates:
Ba 0.237 0.000 0.210 x4
Tl 0.099 0.500 0.275 x4
In 0.063 0.000 0.709 x4
Sb 0.113 0.500 0.908 x4
Sb 0.132 0.000 0.503 x4

total moment	0.000	Bohr magnetons per cell
V	743.5	Å³/cell
DFT total energy	-69.7	eV/cell

***

Crystalline LiCeNi4 at its relaxed geometry. Source: Alexandria via LeMat-Bulk, functional PBE.

Cell lengths 6.943, 6.943, 6.943 Å; angles 90.00, 90.00, 90.00 degrees
Space group F-43m (No. 216)
Inequivalent atoms, fractional coordinates:
Li 0.000 0.000 0.000 x4
Ce 0.250 0.250 0.750 x4
Ni 0.126 0.126 0.374 x16

total moment	0.001	Bohr magnetons per cell
V	334.6	Å³/cell
E_form	-0.33	eV per atom
DFT total energy	-131.8	eV/cell

***

Crystalline La2ZrZn2 at its relaxed geometry. Source: Alexandria via LeMat-Bulk, functional PBE.

Cell lengths 8.511, 8.511, 3.578 Å; angles 90.00, 90.00, 90.00 degrees
Space group P4/mbm (No. 127)
Inequivalent atoms, fractional coordinates:
La 0.182 0.318 0.000 x4
Zr 0.000 0.000 0.500 x2
Zn 0.114 0.614 0.500 x4

total moment	0.000	Bohr magnetons per cell
V	259.2	Å³/cell
E_form	-0.04	eV per atom
DFT total energy	-42.3	eV/cell